A relaxed structure of YFeNiGe2, computed with PBE-GGA.

Structure (extended XYZ):
```
5
Lattice="-0.7957 -2.3961 5.1886 -1.9348 3.1413 4.4368 -1.3189 -1.0213 -5.5240" Properties=species:S:1:pos:R:3 pbc="T T T"
Ge -2.0921 -1.4263 3.4801
Ge -1.3878 -1.6185 0.9973
Ni -1.3653 0.3726 4.8127
Fe 0.0000 0.0000 0.0000
Y -2.3095 1.2463 1.8628
```

Computed properties:
DFT total energy	-32.5	eV per cell
magnetic moment	1.443	Bohr magnetons per cell
V	81.6	Å³ per cell
space-group type	No. 119
ρ	7.10	g/cm³


A relaxed structure of FeGeOs, computed with PBE-GGA.

Structure (extended XYZ):
```
3
Lattice="0.0000 2.7980 2.7980 2.7980 0.0000 2.7980 2.7980 2.7980 0.0000" Properties=species:S:1:pos:R:3 pbc="T T T"
Ge 1.3990 1.3990 1.3990
Fe 0.0000 0.0000 0.0000
Os 4.1971 4.1971 4.1971
```

Computed properties:
DFT total energy	-23.5	eV per cell
magnetic moment	0.100	Bohr magnetons per cell
V	43.8	Å³ per cell
space-group type	No. 216
ρ	12.08	g/cm³


A relaxed structure of FeGeOsPd, computed with PBE-GGA.

Structure (extended XYZ):
```
4
Lattice="0.0000 3.0475 3.0475 3.0475 0.0000 3.0475 3.0475 3.0475 0.0000" Properties=species:S:1:pos:R:3 pbc="T T T"
Fe 4.5712 4.5712 4.5712
Os 1.5237 1.5237 1.5237
Ge 0.0000 0.0000 0.0000
Pd 3.0475 3.0475 3.0475
```

Computed properties:
DFT total energy	-28.5	eV per cell
magnetic moment	2.815	Bohr magnetons per cell
V	56.6	Å³ per cell
space-group type	No. 216
ρ	12.47	g/cm³


A relaxed structure of FeGeOsPt, computed with PBE-GGA.

Structure (extended XYZ):
```
4
Lattice="-3.8868 -1.7140 0.8450 -3.4016 2.5875 0.7019 -3.1673 0.2593 -2.9428" Properties=species:S:1:pos:R:3 pbc="T T T"
Pt -5.2279 0.5664 -0.6979
Ge 0.0000 0.0000 0.0000
Os -2.6140 0.2832 -0.3489
Fe -7.8418 0.8497 -1.0468
```

Computed properties:
DFT total energy	-29.4	eV per cell
magnetic moment	2.555	Bohr magnetons per cell
V	57.5	Å³ per cell
space-group type	No. 216
ρ	14.85	g/cm³


A relaxed structure of ScFeGeOs, computed with PBE-GGA.

Structure (extended XYZ):
```
4
Lattice="0.0000 3.1332 3.1332 3.1332 0.0000 3.1332 3.1332 3.1332 0.0000" Properties=species:S:1:pos:R:3 pbc="T T T"
Sc 1.5666 1.5666 1.5666
Ge 0.0000 0.0000 0.0000
Os 3.1332 3.1332 3.1332
Fe 4.6998 4.6998 4.6998
```

Computed properties:
DFT total energy	-30.4	eV per cell
magnetic moment	3.873	Bohr magnetons per cell
V	61.5	Å³ per cell
space-group type	No. 216
ρ	9.82	g/cm³


A relaxed structure of ScFeGeOs, computed with PBE-GGA.

Structure (extended XYZ):
```
4
Lattice="2.7038 -3.2118 1.0554 -1.4756 -4.0580 0.3092 1.1258 -2.9445 -2.9669" Properties=species:S:1:pos:R:3 pbc="T T T"
Fe 1.7655 -7.6607 -1.2017
Ge 0.0000 0.0000 0.0000
Os 0.5885 -2.5536 -0.4006
Sc 1.1770 -5.1072 -0.8011
```

Computed properties:
DFT total energy	-31.2	eV per cell
magnetic moment	0.838	Bohr magnetons per cell
V	57.4	Å³ per cell
space-group type	No. 216
ρ	10.53	g/cm³


A relaxed structure of YFeGeOs, computed with PBE-GGA.

Structure (extended XYZ):
```
4
Lattice="1.9579 -2.1079 -3.4473 1.1015 -4.3383 0.3543 -2.2773 -3.0917 -2.3270" Properties=species:S:1:pos:R:3 pbc="T T T"
Ge 0.0000 0.0000 0.0000
Fe 0.5865 -7.1534 -4.0650
Y 0.3910 -4.7690 -2.7100
Os 0.1955 -2.3845 -1.3550
```

Computed properties:
DFT total energy	-30.1	eV per cell
magnetic moment	0.958	Bohr magnetons per cell
V	64.0	Å³ per cell
space-group type	No. 216
ρ	10.58	g/cm³


A relaxed structure of YFeGeOs, computed with PBE-GGA.

Structure (extended XYZ):
```
4
Lattice="2.4740 -3.0999 2.3674 2.3607 1.3061 3.7490 -1.3917 -1.3504 4.1921" Properties=species:S:1:pos:R:3 pbc="T T T"
Ge 0.0000 0.0000 0.0000
Os 1.7215 -1.5721 5.1542
Fe 2.5822 -2.3581 7.7314
Y 0.8607 -0.7860 2.5771
```

Computed properties:
DFT total energy	-29.6	eV per cell
magnetic moment	4.091	Bohr magnetons per cell
V	69.7	Å³ per cell
space-group type	No. 216
ρ	9.71	g/cm³